# 1
Computed, not measured: a PBEsol-optimized structure of LaZnSe2 at the SCAN level of DFT.

The value obtained for the calculated total energy is -406.32 eV per cell. For the volume, the calculation gives 375.67 Å³/cell. For the uncorrected formation energy, the calculation gives -115.83 kJ per mole of atoms. The magnetic moment is 0.00 μB/cell. Its crystal system is tetragonal.

It has space group I-42d (No. 122), with a = 7.207 Å, b = 7.207 Å, c = 7.233 Å, α = 90.00°, β = 90.00° and γ = 90.00°. The distinct sites, in fractional coordinates, are La at (0.000, 0.000, 0.000), Zn at (0.000, 0.000, 0.500) and Se at (0.189, 0.250, 0.625).

=====

# 2
Computed, not measured: a PBEsol-optimized structure of LaZr2Se at the SCAN level of DFT.

The value obtained for the calculated total energy is -125.77 eV per cell. For the volume, the calculation gives 86.94 Å³/cell. For the uncorrected formation energy, the calculation gives -28.61 kJ per mole of atoms. The magnetic moment is 0.00 μB/cell. Its crystal system is tetragonal.

It has space group P4/mmm (No. 123), with a = 4.344 Å, b = 4.344 Å, c = 4.608 Å, α = 90.00°, β = 90.00° and γ = 90.00°. The distinct sites, in fractional coordinates, are La at (0.000, 0.000, 0.000), Zr at (0.000, 0.500, 0.500) and Se at (0.500, 0.500, 0.000).

=====

# 3
Computed, not measured: a PBEsol-optimized structure of LaZrSe at the SCAN level of DFT.

For the energy above the most stable polymorph in this dataset, the calculation gives 0.0000 eV per atom. The value obtained for the calculated total energy is -375.75 eV per cell. For the volume, the calculation gives 286.61 Å³/cell. For the uncorrected formation energy, the calculation gives -1.78 kJ per mole of atoms. The magnetic moment is 4.07 μB/cell. Its crystal system is cubic.

It has space group F-43m (No. 216), with a = 6.593 Å, b = 6.593 Å, c = 6.593 Å, α = 90.00°, β = 90.00° and γ = 90.00°. The distinct sites, in fractional coordinates, are La at (0.000, 0.000, 0.000), Zr at (0.250, 0.250, 0.250) and Se at (0.000, 0.000, 0.500).

=====

# 4
Computed, not measured: a PBEsol-optimized structure of La2ZrSe5 at the SCAN level of DFT.

The value obtained for the calculated total energy is -934.54 eV per cell. For the volume, the calculation gives 766.28 Å³/cell. For the uncorrected formation energy, the calculation gives -197.00 kJ per mole of atoms. The magnetic moment is 0.00 μB/cell. Its crystal system is orthorhombic.

It has space group Pnma (No. 62), with a = 11.767 Å, b = 8.533 Å, c = 7.631 Å, α = 90.00°, β = 90.00° and γ = 90.00°. The distinct sites, in fractional coordinates, are La at (0.171, 0.000, 0.064), Zr at (0.012, 0.250, 0.577), Se at (0.005, 0.250, 0.945), Se at (0.071, 0.538, 0.682), Se at (0.195, 0.250, 0.359) and Se at (0.211, 0.750, 0.344).